Crystalline GaGePd2 at its relaxed geometry, computed with PBE.

a = 4.4355 Å, b = 4.4355 Å, c = 4.4355 Å
α = 60.00°, β = 60.00°, γ = 60.00°
Positions (direct):
Ga 0.0000 0.0000 0.0000
Ge 0.5000 0.5000 0.5000
Pd 0.2500 0.2500 0.2500
Pd 0.7500 0.7500 0.7500

Results
theoretical density	9.6	g/cm³
E	-4.908	eV per atom
space-group type	Fm-3m, No. 225
spin magnetization	0.00	μB per cell
DOS(E_F)	1.4	states/eV/cell

---

Crystalline GaGePd6 at its relaxed geometry, computed with PBE.

a = 7.3442 Å, b = 7.3387 Å, c = 4.2574 Å
α = 73.22°, β = 73.07°, γ = 33.71°
Positions (direct):
Ga 0.0000 0.0000 0.0000
Ge 0.5000 0.5000 0.5000
Pd 0.1115 0.1115 0.3885
Pd 0.2505 0.2505 0.7495
Pd 0.3885 0.3885 0.1115
Pd 0.6115 0.6115 0.8885
Pd 0.7495 0.7495 0.2505
Pd 0.8885 0.8885 0.6115

Results
theoretical density	10.7	g/cm³
E	-5.194	eV per atom
space-group type	Fmmm, No. 69
spin magnetization	0.00	μB per cell
DOS(E_F)	4.6	states/eV/cell

---

Crystalline Ga2GePd4 at its relaxed geometry, computed with PBE.

a = 7.6941 Å, b = 7.6941 Å, c = 10.3185 Å
α = 90.00°, β = 90.00°, γ = 157.59°
Positions (direct):
Ga 0.1292 0.8708 0.5896
Ga 0.1292 0.8708 0.9104
Ga 0.8708 0.1292 0.0896
Ga 0.8708 0.1292 0.4104
Ge 0.3722 0.6278 0.7500
Ge 0.6278 0.3722 0.2500
Pd 0.0039 0.9961 0.7500
Pd 0.2288 0.7712 0.1134
Pd 0.2288 0.7712 0.3866
Pd 0.5000 0.5000 0.0000
Pd 0.5000 0.5000 0.5000
Pd 0.7712 0.2288 0.6134
Pd 0.7712 0.2288 0.8866
Pd 0.9961 0.0039 0.2500

Results
theoretical density	9.1	g/cm³
E	-4.917	eV per atom
space-group type	Cmcm, No. 63
spin magnetization	0.00	μB per cell
DOS(E_F)	4.3	states/eV/cell

---

Crystalline GaGePd4 at its relaxed geometry, computed with PBE.

a = 5.1449 Å, b = 7.4514 Å, c = 5.1211 Å
α = 90.00°, β = 108.86°, γ = 90.00°
Positions (direct):
Ga 0.0000 0.0000 0.0000
Ga 0.0000 0.5000 0.5000
Ge 0.5000 0.0000 0.5000
Ge 0.5000 0.5000 0.0000
Pd 0.1178 0.1641 0.6096
Pd 0.1178 0.3359 0.1096
Pd 0.3834 0.6665 0.3786
Pd 0.3834 0.8335 0.8786
Pd 0.6166 0.1665 0.1214
Pd 0.6166 0.3335 0.6214
Pd 0.8822 0.6641 0.8904
Pd 0.8822 0.8359 0.3904

Results
theoretical density	10.2	g/cm³
E	-5.203	eV per atom
space-group type	P2_1/c, No. 14
spin magnetization	0.00	μB per cell
DOS(E_F)	7.1	states/eV/cell

---

Crystalline Ga3GePd at its relaxed geometry, computed with PBE.

a = 4.8064 Å, b = 4.8064 Å, c = 4.8064 Å
α = 90.00°, β = 90.00°, γ = 90.00°
Positions (direct):
Ga 0.0000 0.0000 0.5000
Ga 0.0000 0.5000 0.0000
Ga 0.5000 0.0000 0.0000
Ge 0.5000 0.5000 0.5000
Pd 0.0000 0.0000 0.0000

Results
theoretical density	5.8	g/cm³
E	-3.646	eV per atom
space-group type	Pm-3m, No. 221
spin magnetization	0.00	μB per cell
DOS(E_F)	3.3	states/eV/cell

---

Crystalline GaGePd2 at its relaxed geometry, computed with PBE.

a = 6.6548 Å, b = 3.3220 Å, c = 11.8340 Å
α = 90.00°, β = 90.00°, γ = 90.00°
Positions (direct):
Ga 0.0421 0.2500 0.0875
Ga 0.4579 0.7500 0.5875
Ga 0.5421 0.2500 0.4125
Ga 0.9579 0.7500 0.9125
Ge 0.0992 0.7500 0.3446
Ge 0.4008 0.2500 0.8446
Ge 0.5992 0.7500 0.1554
Ge 0.9008 0.2500 0.6554
Pd 0.1822 0.7500 0.7349
Pd 0.1877 0.2500 0.5117
Pd 0.3123 0.7500 0.0117
Pd 0.3178 0.2500 0.2349
Pd 0.6822 0.7500 0.7651
Pd 0.6877 0.2500 0.9883
Pd 0.8123 0.7500 0.4883
Pd 0.8178 0.2500 0.2651

Results
theoretical density	9.0	g/cm³
E	-4.956	eV per atom
space-group type	Pnma, No. 62
spin magnetization	0.00	μB per cell
DOS(E_F)	5.0	states/eV/cell

---

Question: Which value of theoretical density does entry 6 give?
Answer: 9.0 g/cm³

---

Question: Among the records above, which one has the lowest DOS(E_F)?
Answer: number 1